[1]
This record from the Alexandria database describes MgSc4Pd7 after structural relaxation. The functional is PBE.

Values from the calculation:
Final energy, eV/atom: -5.94
Formation enthalpy at 0 K, meV/atom: -668
Magnetic moment, μB/f.u.: 0.00

Cell: 4.872 8.894 5.905 Å, 80.04 65.64 74.10°
Sites, in units of the cell vectors:
Mg 0.000 0.000 0.000
Sc 0.236 0.346 0.182
Pd 0.074 0.681 0.171
Pd 0.634 0.474 0.257
Pd 0.366 0.526 0.743
Pd 0.500 0.000 0.000
Pd 0.926 0.319 0.829
Pd 0.788 0.908 0.517
Sc 0.764 0.654 0.818
Sc 0.591 0.220 0.598
Pd 0.212 0.092 0.483
Sc 0.409 0.780 0.402



[2]
This record from the Alexandria database describes CsZrP2S after structural relaxation. The functional is PBE.

Values from the calculation:
Formation energy (no corrections), meV/atom: -395.5
Final energy, eV/atom: -5.27
Energy above the most stable polymorph in this dataset, eV per atom: 0.0000
Magnetic moment, μB/f.u.: 0.01

Cell: 5.176 5.176 5.162 Å, 90.00 90.00 90.00°
Sites, in units of the cell vectors:
S 0.000 0.000 0.500
P 0.500 0.000 0.000
Cs 0.500 0.500 0.500
P 0.000 0.500 0.000
Zr 0.000 0.000 0.000



[3]
This record from the Alexandria database describes MnZnPt2 after structural relaxation. The functional is PBE.

Values from the calculation:
Final energy, eV/atom: -6.00
Formation enthalpy at 0 K, meV/atom: -370
Magnetic moment, μB/f.u.: 4.33

Cell: 2.826 3.916 5.433 Å, 90.00 90.00 90.00°
Each line ends with the local moment (μB).
Sites, in units of the cell vectors:
Pt 0.500 0.500 0.278  0.14
Zn 0.000 0.000 0.485  -0.02
Pt 0.000 0.000 0.974  0.27
Mn 0.500 0.500 0.764  3.76